Entry from Alexandria: a geometry-optimized Sm5TlAg2 structure (PBE-GGA).

Calculated values
Energy of formation in eV per atom: -0.209
Symmetry: I4/mcm
VASP energy in eV per cell: -66.7
V in Å³/atom: 28.839

Lattice parameters (Å, degrees): 8.303 8.303 8.903 117.79 117.79 90.00
Sites, in units of the cell vectors:
Sm 0.994 0.494 0.298
Sm 0.506 0.696 0.702
Sm 0.196 0.006 0.702
Sm 0.696 0.196 0.702
Sm 0.304 0.804 0.298
Sm 0.006 0.506 0.702
Sm 0.500 0.500 0.000
Sm 0.494 0.304 0.298
Sm 0.000 0.000 0.000
Sm 0.804 0.994 0.298
Ag 0.633 0.133 0.000
Ag 0.367 0.867 0.000
Ag 0.133 0.367 0.000
Ag 0.867 0.633 0.000
Tl 0.250 0.250 0.500
Tl 0.750 0.750 0.500